Entry from OQMD: NbTe2 after structural relaxation (PBE-GGA).

```
data_NbTe2
_chemical_formula_sum 'Nb4 Te8'
_cell_length_a 3.6973
_cell_length_b 3.6973
_cell_length_c 27.7374
_cell_angle_alpha 90.00
_cell_angle_beta 90.00
_cell_angle_gamma 120.00
_symmetry_space_group_name_H-M 'P -6 m 2'
_symmetry_Int_Tables_number 187
_symmetry_space_group_name_Hall 'P -6 2'
loop_
_atom_site_label
_atom_site_fract_x
_atom_site_fract_y
_atom_site_fract_z
_atom_site_occupancy
Nb1 0.0000 0.0000 0.0000 1
Nb2 0.0000 0.0000 0.2497 1
Nb3 0.3333 0.6667 0.5000 1
Te1 0.0000 0.0000 0.4337 1
Te2 0.3333 0.6667 0.0663 1
Te3 0.6667 0.3333 0.1838 1
Te4 0.6667 0.3333 0.3161 1
```

## Properties
**Total energy**: -5.90 eV/atom
**Magnetic moment**: 0.010 μB/f.u.